No. 1
Computed, not measured: a relaxed Cd2SbW crystal at the PBE-GGA level of DFT.

Values from the calculation:
The calculation puts the calculated density at 10.79 Mg/m³. The formation energy from raw total energies comes out at 0.4655 eV per atom. The calculation puts the total moment at 0.00 μB per cell. The calculated volume comes out at 20.41 Å³/atom.

Lattice parameters (Å, degrees): 3.5955 3.5955 6.3140 90.00 90.00 90.00
Fractional coordinates of all 4 atoms:
Cd 0.0000 0.0000 0.0000
Cd 0.5000 0.5000 0.2373
Sb 0.0000 0.0000 0.5344
W 0.5000 0.5000 0.7351

---

No. 2
Computed, not measured: a relaxed CdSb2W crystal at the PBE-GGA level of DFT.

Values from the calculation:
The calculation puts the calculated density at 10.27 Mg/m³. The formation energy from raw total energies comes out at 0.8529 eV per atom. The calculation puts the total moment at 0.00 μB per cell. The calculated volume comes out at 21.81 Å³/atom.

Lattice parameters (Å, degrees): 3.5633 4.6594 5.2554 90.00 90.00 90.00
Fractional coordinates of all 4 atoms:
Cd 0.0000 0.0000 0.0000
Sb 0.0000 0.5000 0.5000
Sb 0.5000 0.5000 0.0000
W 0.5000 0.0000 0.5000

---

No. 3
Computed, not measured: a relaxed Cd2SbW crystal at the PBE-GGA level of DFT.

Values from the calculation:
The calculation puts the calculated density at 10.62 Mg/m³. The formation energy from raw total energies comes out at 0.6721 eV per atom. The calculation puts the total moment at 0.00 μB per cell. The calculated volume comes out at 20.73 Å³/atom.

Lattice parameters (Å, degrees): 3.0870 4.7639 5.6394 90.00 90.00 90.00
Fractional coordinates of all 4 atoms:
Cd 0.0000 0.0000 0.0000
Cd 0.5000 0.5000 0.0000
Sb 0.0000 0.5000 0.5000
W 0.5000 0.0000 0.5000

---

No. 4
Computed, not measured: a relaxed CdSb2W crystal at the PBE-GGA level of DFT.

Values from the calculation:
The calculation puts the calculated density at 10.33 Mg/m³. The formation energy from raw total energies comes out at 0.7228 eV per atom. The calculation puts the total moment at 0.00 μB per cell. The calculated volume comes out at 21.70 Å³/atom.

Lattice parameters (Å, degrees): 5.3645 5.3645 5.3645 137.05 122.32 74.54
Fractional coordinates of all 4 atoms:
Cd 0.0000 0.0000 0.0000
Sb 0.2528 0.7528 0.5000
Sb 0.7472 0.2472 0.5000
W 0.5000 0.5000 0.0000

---

No. 5
Computed, not measured: a relaxed CdSbW2 crystal at the PBE-GGA level of DFT.

Values from the calculation:
The calculation puts the calculated density at 13.81 Mg/m³. The formation energy from raw total energies comes out at 0.9357 eV per atom. The energy above the lowest structure with this stoichiometry is 531 meV per atom. The calculation puts the total moment at 0.00 μB per cell. The calculated volume comes out at 18.09 Å³/atom.

Lattice parameters (Å, degrees): 4.6778 4.6778 4.6778 60.00 60.00 60.00
Fractional coordinates of all 4 atoms:
Cd 0.0000 0.0000 0.0000
Sb 0.5000 0.5000 0.5000
W 0.2500 0.2500 0.2500
W 0.7500 0.7500 0.7500

---

No. 6
Computed, not measured: a relaxed CdSbW2 crystal at the PBE-GGA level of DFT.

Values from the calculation:
The calculation puts the calculated density at 13.19 Mg/m³. The formation energy from raw total energies comes out at 0.7982 eV per atom. The energy above the lowest structure with this stoichiometry is 394 meV per atom. The calculation puts the total moment at 0.00 μB per cell. The calculated volume comes out at 18.94 Å³/atom.

Lattice parameters (Å, degrees): 2.9150 4.7012 5.5505 90.00 95.14 90.00
Fractional coordinates of all 4 atoms:
Cd 0.0000 0.0000 0.0000
Sb 0.5000 0.0000 0.5000
W 0.3346 0.5000 0.7708
W 0.6654 0.5000 0.2292